The following is a PBE+U calculation of Nd2VO5 after structural relaxation, from Alexandria via LeMat-Bulk.

a = 5.9403 Å, b = 5.9412 Å, c = 5.5199 Å
α = 113.19°, β = 113.19°, γ = 87.81°
With the nearest neighbours (Å) after each atom.
Positions (direct):
Nd  0.0720  0.6184  0.2807  5 O 2.30-2.41
Nd  0.6185  0.0721  0.2809  5 O 2.30-2.41
V  0.0101  0.0100  0.9778  5 O 1.78-1.96
O  0.8091  0.2620  0.1018  1 V 1.96
O  0.2811  0.2811  0.2055  1 V 1.94
O  0.7893  0.7894  0.9985  1 V 1.95
O  0.2621  0.8092  0.1019  1 V 1.96
O  0.9349  0.9348  0.6069  1 V 1.78

Output
DOS at the Fermi energy = 0.00 states/eV/cell
Uncorrected energy = -7.929 eV per atom
Crystal system = monoclinic
Size of the total moment = 1.00 μB per cell
Calculated density = 4.27 Mg/m³